Entry from Alexandria: Ac12Tl6Tc after structural relaxation (GGA-PBE).

a = 9.149 Å, b = 9.149 Å, c = 9.149 Å
α = 93.62°, β = 93.62°, γ = 93.62°
Fractional coordinates of all 19 atoms:
Tl  0.140  0.729  0.353
Ac  0.923  0.692  0.035
Ac  0.692  0.035  0.923
Ac  0.421  0.550  0.197
Ac  0.197  0.421  0.550
Tl  0.729  0.353  0.140
Tc  0.000  0.000  0.000
Tl  0.271  0.647  0.860
Ac  0.077  0.308  0.965
Ac  0.803  0.579  0.450
Tl  0.860  0.271  0.647
Tl  0.353  0.140  0.729
Ac  0.308  0.965  0.077
Ac  0.965  0.077  0.308
Ac  0.450  0.803  0.579
Ac  0.550  0.197  0.421
Ac  0.579  0.450  0.803
Tl  0.647  0.860  0.271
Ac  0.035  0.923  0.692

Properties
Its formation energy is -0.13 eV per atom.